1.
Nd3FeAg: optimized geometry, PBE.

a = 5.247 Å, b = 5.247 Å, c = 5.247 Å
α = 90.00°, β = 90.00°, γ = 90.00°
Space group Pm-3m (No. 221)
Symmetry-distinct sites (fractional):
Nd 0.000 0.000 0.500 x3
Fe 0.000 0.000 0.000 x1
Ag 0.500 0.500 0.500 x1

Output
Total DFT energy (no corrections)   -4.9798 eV/atom
Total magnetic moment   0.0 μB/f.u.
DFT formation energy   0.1437 eV per atom

***

2.
YSc2Zn: optimized geometry, PBE.

a = 4.441 Å, b = 4.441 Å, c = 9.475 Å
α = 90.00°, β = 90.00°, γ = 90.00°
Space group I4/mmm (No. 139)
Symmetry-distinct sites (fractional):
Y 0.000 0.000 0.000 x2
Sc 0.000 0.500 0.250 x4
Zn 0.000 0.000 0.500 x2

Output
Total DFT energy (no corrections)   -5.1060 eV/atom
Total magnetic moment   0.6 μB/f.u.
DFT formation energy   -0.0058 eV per atom

***

3.
SnHgPbCl: optimized geometry, PBE.

a = 7.486 Å, b = 7.486 Å, c = 7.486 Å
α = 90.00°, β = 90.00°, γ = 90.00°
Space group F-43m (No. 216)
Symmetry-distinct sites (fractional):
Sn 0.000 0.000 0.000 x4
Hg 0.250 0.250 0.750 x4
Pb 0.000 0.000 0.500 x4
Cl 0.250 0.250 0.250 x4

Output
Formation energy without anion corrections   -122 meV/atom
Total DFT energy (no corrections)   -2.5871 eV/atom
Total magnetic moment   0.0 μB/f.u.

***

4.
SmMgGaAu: optimized geometry, PBE.

a = 7.005 Å, b = 7.005 Å, c = 7.005 Å
α = 90.00°, β = 90.00°, γ = 90.00°
Space group F-43m (No. 216)
Symmetry-distinct sites (fractional):
Sm 0.000 0.000 0.000 x4
Mg 0.000 0.000 0.500 x4
Ga 0.250 0.250 0.750 x4
Au 0.250 0.250 0.250 x4

Output
Total DFT energy (no corrections)   -3.7758 eV/atom
Total magnetic moment   0.0 μB/f.u.
DFT formation energy   -0.6213 eV per atom

***

- What is the total magnetic moment in the fourth record?
  0.0 μB/f.u.

***

Repeat the fourth record exactly.
SmMgGaAu: optimized geometry, PBE.

a = 7.005 Å, b = 7.005 Å, c = 7.005 Å
α = 90.00°, β = 90.00°, γ = 90.00°
Space group F-43m (No. 216)
Symmetry-distinct sites (fractional):
Sm 0.000 0.000 0.000 x4
Mg 0.000 0.000 0.500 x4
Ga 0.250 0.250 0.750 x4
Au 0.250 0.250 0.250 x4

Output
Total DFT energy (no corrections)   -3.7758 eV/atom
Total magnetic moment   0.0 μB/f.u.
DFT formation energy   -0.6213 eV per atom